! NaLa2AlSb (PBE-GGA, relaxed); values from VASP
! - formation energy from raw total energies (eV/atom) = -0.05
! - total DFT energy (no corrections) (eV/cell) = -19.3
! - space-group type = P4/mmm
! - size of the total moment (Bohr magnetons per cell) = 0.000
&SYSTEM
  ibrav = 0, nat = 5, ntyp = 4
/
ATOMIC_SPECIES
Na 22.99 Na.upf
La 138.91 La.upf
Sb 121.76 Sb.upf
Al 26.98 Al.upf
ATOMIC_POSITIONS angstrom
Na 0.6367 -0.5117 2.4763
La 2.5362 1.3217 -0.3790
Sb 1.9920 3.3111 2.9177
Al 0.0000 0.0000 0.0000
La -1.1808 2.5011 0.8204
CELL_PARAMETERS angstrom
-2.3617 5.0021 1.6407
1.2733 -1.0233 4.9526
5.0723 2.6435 -0.7579